Entry 1:
TmSc2Hg | PBE | relaxed

Properties
Energy relative to the elements = -0.107 eV/atom
D(E_F) = 1.40 states/eV/atom
E above lowest polymorph = 0.0798 eV/atom
DFT total energy = -4.47 eV per atom

Lattice parameters (Å, degrees): 3.407 3.407 10.273 80.46 80.46 60.00
Positions (direct):
Sc: 0.743 0.743 0.770
Sc: 0.257 0.257 0.230
Hg: 0.000 0.000 0.000
Tm: 0.500 0.500 0.500


Entry 2:
Tm7ScHg4 | PBE | relaxed

Properties
Energy relative to the elements = -0.093 eV/atom
D(E_F) = 0.98 states/eV/atom
DFT total energy = -3.33 eV per atom

Lattice parameters (Å, degrees): 5.535 8.822 7.718 70.80 68.99 71.72
Positions (direct):
Hg: 0.550 0.273 0.626
Hg: 0.687 0.658 0.968
Hg: 0.450 0.727 0.374
Hg: 0.313 0.342 0.032
Tm: 0.500 0.000 0.000
Tm: 0.068 0.594 0.271
Tm: 0.208 0.116 0.468
Tm: 0.739 0.307 0.215
Tm: 0.932 0.406 0.729
Tm: 0.792 0.884 0.532
Tm: 0.261 0.693 0.785
Sc: 0.000 0.000 0.000


Entry 3:
Tm2ScHg4 | PBE | relaxed

Properties
Energy relative to the elements = 0.034 eV/atom
D(E_F) = 1.05 states/eV/atom
E above lowest polymorph = 0.3518 eV/atom
DFT total energy = -2.32 eV per atom

Lattice parameters (Å, degrees): 5.396 5.396 8.405 108.72 108.72 90.00
Positions (direct):
Hg: 0.806 0.806 0.612
Hg: 0.000 0.500 0.000
Hg: 0.194 0.194 0.388
Hg: 0.500 0.000 0.000
Tm: 0.394 0.394 0.789
Tm: 0.606 0.606 0.211
Sc: 0.000 0.000 0.000


Entry 4:
Tm2ScHg4 | PBE | relaxed

Properties
Energy relative to the elements = -0.318 eV/atom
D(E_F) = 0.76 states/eV/atom
E above lowest polymorph = 0.0000 eV/atom
DFT total energy = -2.67 eV per atom

Lattice parameters (Å, degrees): 4.963 4.963 8.948 73.90 73.90 60.00
Positions (direct):
Hg: 0.873 0.873 0.381
Hg: 0.372 0.372 0.883
Hg: 0.127 0.127 0.619
Hg: 0.628 0.628 0.117
Tm: 0.753 0.753 0.740
Tm: 0.247 0.247 0.260
Sc: 0.000 0.000 0.000


Entry 5:
Tm3Sc2Hg2 | PBE | relaxed

Properties
Energy relative to the elements = -0.150 eV/atom
D(E_F) = 1.01 states/eV/atom
DFT total energy = -3.96 eV per atom

Lattice parameters (Å, degrees): 4.748 3.400 11.192 90.00 77.75 90.00
Positions (direct):
Tm: 0.000 0.000 0.000
Tm: 0.151 0.000 0.699
Tm: 0.849 0.000 0.301
Sc: 0.714 0.500 0.573
Sc: 0.286 0.500 0.427
Hg: 0.426 0.500 0.148
Hg: 0.574 0.500 0.852


Entry 6:
Tm2ScHg2 | PBE | relaxed

Properties
Energy relative to the elements = -0.349 eV/atom
D(E_F) = 0.86 states/eV/atom
E above lowest polymorph = 0.0000 eV/atom
DFT total energy = -3.52 eV per atom

Lattice parameters (Å, degrees): 3.673 5.107 13.288 90.00 98.00 90.00
Positions (direct):
Hg: 0.449 0.750 0.898
Hg: 0.645 0.750 0.290
Hg: 0.551 0.250 0.102
Hg: 0.355 0.250 0.710
Tm: 0.047 0.750 0.095
Tm: 0.953 0.250 0.905
Tm: 0.237 0.750 0.474
Tm: 0.763 0.250 0.526
Sc: 0.852 0.750 0.704
Sc: 0.148 0.250 0.296


Entry 7:
TmSc2Hg | PBE | relaxed

Properties
Energy relative to the elements = -0.187 eV/atom
D(E_F) = 1.18 states/eV/atom
E above lowest polymorph = 0.0000 eV/atom
DFT total energy = -4.55 eV per atom

Lattice parameters (Å, degrees): 3.397 3.397 8.552 90.00 90.00 90.00
Positions (direct):
Tm: 0.500 0.500 0.500
Hg: 0.500 0.500 0.000
Sc: 0.000 0.000 0.223
Sc: 0.000 0.000 0.777


Entry 8:
TmSc2Hg8 | PBE | relaxed

Properties
Energy relative to the elements = -0.221 eV/atom
D(E_F) = 0.54 states/eV/atom
DFT total energy = -2.00 eV per atom

Lattice parameters (Å, degrees): 4.854 7.498 8.327 116.76 106.95 90.00
Positions (direct):
Hg: 0.650 0.864 0.300
Hg: 0.000 0.701 0.000
Hg: 0.650 0.436 0.300
Hg: 0.000 0.299 0.000
Hg: 0.843 0.843 0.685
Hg: 0.157 0.157 0.315
Hg: 0.350 0.564 0.700
Hg: 0.350 0.136 0.700
Sc: 0.192 0.692 0.385
Sc: 0.808 0.308 0.615
Tm: 0.500 0.000 0.000


Entry 9:
TmSc7Hg4 | PBE | relaxed

Properties
Energy relative to the elements = -0.062 eV/atom
D(E_F) = 1.21 states/eV/atom
DFT total energy = -4.23 eV per atom

Lattice parameters (Å, degrees): 5.311 8.472 7.432 70.08 69.07 71.73
Positions (direct):
Sc: 0.500 0.000 0.000
Sc: 0.263 0.689 0.785
Sc: 0.068 0.587 0.277
Sc: 0.789 0.884 0.537
Sc: 0.737 0.311 0.215
Sc: 0.932 0.413 0.723
Sc: 0.211 0.116 0.463
Hg: 0.448 0.726 0.377
Hg: 0.552 0.274 0.623
Hg: 0.687 0.663 0.964
Hg: 0.313 0.337 0.036
Tm: 0.000 0.000 0.000


Entry 10:
TmSc2Hg6 | PBE | relaxed

Properties
Energy relative to the elements = -0.282 eV/atom
D(E_F) = 0.51 states/eV/atom
DFT total energy = -2.39 eV per atom

Lattice parameters (Å, degrees): 5.272 5.278 8.970 72.89 81.72 60.69
Positions (direct):
Sc: 0.500 0.171 0.159
Sc: 0.500 0.829 0.841
Hg: 0.168 0.498 0.834
Hg: 0.832 0.502 0.166
Hg: 0.168 0.832 0.166
Hg: 0.832 0.168 0.834
Hg: 0.665 0.669 0.500
Hg: 0.335 0.331 0.500
Tm: 0.000 0.000 0.500


Entry 11:
TmSc3Hg4 | PBE | relaxed

Properties
Energy relative to the elements = -0.436 eV/atom
D(E_F) = 0.92 states/eV/atom
DFT total energy = -3.52 eV per atom

Lattice parameters (Å, degrees): 5.006 7.207 10.013 90.00 90.00 90.00
Positions (direct):
Hg: 0.500 0.242 0.000
Hg: 0.500 0.242 0.500
Hg: 0.500 0.758 0.000
Hg: 0.000 0.758 0.250
Hg: 0.000 0.758 0.750
Hg: 0.000 0.242 0.750
Hg: 0.000 0.242 0.250
Hg: 0.500 0.758 0.500
Sc: 0.500 0.000 0.250
Sc: 0.500 0.000 0.750
Sc: 0.000 0.000 0.500
Sc: 0.500 0.500 0.250
Sc: 0.500 0.500 0.750
Sc: 0.000 0.000 0.000
Tm: 0.000 0.500 0.500
Tm: 0.000 0.500 0.000


Entry 12:
Tm8ScHg2 | PBE | relaxed

Properties
Energy relative to the elements = -0.043 eV/atom
D(E_F) = 1.44 states/eV/atom
DFT total energy = -3.93 eV per atom

Lattice parameters (Å, degrees): 5.367 8.488 8.488 118.20 100.42 100.42
Positions (direct):
Hg: 0.000 0.307 0.693
Hg: 0.000 0.693 0.307
Tm: 0.894 0.682 0.910
Tm: 0.106 0.318 0.090
Tm: 0.500 0.220 0.780
Tm: 0.894 0.910 0.682
Tm: 0.302 0.611 0.611
Tm: 0.698 0.389 0.389
Tm: 0.106 0.090 0.318
Tm: 0.500 0.780 0.220
Sc: 0.500 0.000 0.000


Entry 13:
Tm2Sc3Hg4 | PBE | relaxed

Properties
Energy relative to the elements = -0.319 eV/atom
D(E_F) = 0.75 states/eV/atom
DFT total energy = -3.56 eV per atom

Lattice parameters (Å, degrees): 6.586 7.795 9.142 90.00 111.11 90.00
Positions (direct):
Tm: 0.402 0.094 0.804
Tm: 0.098 0.594 0.196
Tm: 0.598 0.906 0.196
Tm: 0.902 0.406 0.804
Hg: 0.315 0.250 0.130
Hg: 0.169 0.970 0.338
Hg: 0.331 0.470 0.662
Hg: 0.831 0.030 0.662
Hg: 0.815 0.250 0.130
Hg: 0.669 0.530 0.338
Hg: 0.685 0.750 0.870
Hg: 0.185 0.750 0.870
Sc: 0.488 0.250 0.475
Sc: 0.500 0.500 0.000
Sc: 0.988 0.250 0.475
Sc: 0.012 0.750 0.525
Sc: 0.512 0.750 0.525
Sc: 0.000 0.000 0.000


Entry 14:
Tm5Sc4Hg | PBE | relaxed

Properties
Energy relative to the elements = -0.051 eV/atom
D(E_F) = 1.55 states/eV/atom
DFT total energy = -4.85 eV per atom

Lattice parameters (Å, degrees): 3.438 3.438 22.686 90.00 90.00 90.00
Positions (direct):
Tm: 0.500 0.500 0.091
Tm: 0.500 0.500 0.909
Tm: 0.500 0.500 0.500
Tm: 0.500 0.500 0.296
Tm: 0.500 0.500 0.704
Hg: 0.000 0.000 0.000
Sc: 0.000 0.000 0.602
Sc: 0.000 0.000 0.806
Sc: 0.000 0.000 0.194
Sc: 0.000 0.000 0.398


Entry 15:
Tm5ScHg4 | PBE | relaxed

Properties
Energy relative to the elements = -0.368 eV/atom
D(E_F) = 0.84 states/eV/atom
DFT total energy = -3.36 eV per atom

Lattice parameters (Å, degrees): 3.617 3.617 19.426 90.00 90.00 90.00
Positions (direct):
Hg: 0.000 0.000 0.597
Hg: 0.000 0.000 0.208
Hg: 0.000 0.000 0.403
Hg: 0.000 0.000 0.792
Tm: 0.500 0.500 0.693
Tm: 0.500 0.500 0.307
Tm: 0.500 0.500 0.110
Tm: 0.500 0.500 0.890
Tm: 0.500 0.500 0.500
Sc: 0.000 0.000 0.000


Entry 16:
TmScHg3 | PBE | relaxed

Properties
Energy relative to the elements = -0.333 eV/atom
D(E_F) = 0.66 states/eV/atom
DFT total energy = -2.67 eV per atom

Lattice parameters (Å, degrees): 5.072 6.307 9.038 120.92 106.30 90.00
Positions (direct):
Hg: 0.007 0.263 0.015
Hg: 0.797 0.742 0.595
Hg: 0.993 0.737 0.985
Hg: 0.203 0.258 0.405
Hg: 0.398 0.207 0.795
Hg: 0.602 0.793 0.205
Tm: 0.392 0.711 0.785
Tm: 0.608 0.289 0.215
Sc: 0.809 0.232 0.619
Sc: 0.191 0.768 0.381


Entry 17:
TmScHg4 | PBE | relaxed

Properties
Energy relative to the elements = -0.293 eV/atom
D(E_F) = 0.67 states/eV/atom
E above lowest polymorph = 0.0282 eV/atom
DFT total energy = -2.29 eV per atom

Lattice parameters (Å, degrees): 3.452 6.285 7.988 115.33 77.52 74.06
Site moments in Bohr magnetons follow the coordinates.
Positions (direct):
Hg: 0.339 0.996 0.326  0.00
Hg: 0.661 0.004 0.674  0.00
Hg: 0.177 0.485 0.162  0.00
Hg: 0.823 0.515 0.838  0.00
Tm: 0.500 0.500 0.500  0.12
Sc: 0.000 0.000 0.000  0.20


Entry 18:
TmScHg4 | PBE | relaxed

Properties
Energy relative to the elements = -0.321 eV/atom
D(E_F) = 0.54 states/eV/atom
E above lowest polymorph = 0.0000 eV/atom
DFT total energy = -2.32 eV per atom

Lattice parameters (Å, degrees): 3.806 5.088 7.422 90.00 104.91 90.00
Positions (direct):
Hg: 0.021 0.497 0.289
Hg: 0.813 0.997 0.871
Hg: 0.684 0.497 0.616
Hg: 0.487 0.997 0.217
Sc: 0.150 0.997 0.542
Tm: 0.353 0.497 0.953


Entry 19:
TmSc2Hg | PBE | relaxed

Properties
Energy relative to the elements = -0.067 eV/atom
D(E_F) = 1.62 states/eV/atom
E above lowest polymorph = 0.1199 eV/atom
DFT total energy = -4.43 eV per atom

Lattice parameters (Å, degrees): 5.148 5.148 5.147 59.99 59.99 60.00
Site moments in Bohr magnetons follow the coordinates.
Positions (direct):
Sc: 0.250 0.250 0.250  0.32
Sc: 0.000 0.000 0.000  0.23
Hg: 0.750 0.750 0.750  0.00
Tm: 0.500 0.500 0.500  0.13


Entry 20:
Tm2ScHg2 | PBE | relaxed

Properties
Energy relative to the elements = -0.295 eV/atom
D(E_F) = 1.28 states/eV/atom
E above lowest polymorph = 0.0540 eV/atom
DFT total energy = -3.47 eV per atom

Lattice parameters (Å, degrees): 4.613 5.802 5.802 69.86 66.57 66.57
Positions (direct):
Hg: 0.500 0.722 0.278
Hg: 0.500 0.278 0.722
Sc: 0.000 0.000 0.000
Tm: 0.802 0.698 0.698
Tm: 0.198 0.302 0.302